(1)
Here is ZnAuSe after structural relaxation from the Alexandria database. Energies are from PBE-GGA. Values from VASP.

uncorrected energy = -2.59 eV/atom
uncorrected formation energy = 87.4 meV per atom
crystal system = orthorhombic
total magnetic moment = 0.00 μB per cell

Structure (Quantum ESPRESSO input):
```
&SYSTEM
  ibrav = 0, nat = 3, ntyp = 3
/
ATOMIC_SPECIES
Au 196.97 Au.upf
Se 78.96 Se.upf
Zn 65.41 Zn.upf
ATOMIC_POSITIONS crystal
Au 0.0269 0.0269 0.9731
Se 0.3041 0.3041 0.6959
Zn 0.6691 0.6691 0.3309
CELL_PARAMETERS angstrom
-2.0909 6.7167 0.5953
-3.0418 5.7656 -2.1432
-2.4232 -0.0208 1.8536
```

(2)
Here is LaHoCrN3 after structural relaxation from the Alexandria database. Energies are from PBE-GGA. Values from VASP.

uncorrected energy = -8.48 eV/atom
uncorrected formation energy = -1133.2 meV per atom
crystal system = monoclinic
total magnetic moment = 0.00 μB per cell

Structure (Quantum ESPRESSO input):
```
&SYSTEM
  ibrav = 0, nat = 12, ntyp = 4
/
ATOMIC_SPECIES
La 138.91 La.upf
Ho 164.93 Ho.upf
Cr 52.00 Cr.upf
N 14.01 N.upf
ATOMIC_POSITIONS crystal
La 0.7500 0.8059 0.8042
La 0.2500 0.1941 0.1958
Ho 0.2500 0.6376 0.1686
Ho 0.7500 0.3624 0.8314
Cr 0.2500 0.0805 0.5999
Cr 0.7500 0.9195 0.4001
N 0.2500 0.8406 0.4848
N 0.7500 0.8644 0.1517
N 0.7500 0.4130 0.1518
N 0.7500 0.1594 0.5152
N 0.2500 0.5870 0.8482
N 0.2500 0.1356 0.8483
CELL_PARAMETERS angstrom
3.4304 0.0000 0.0000
0.0000 7.6062 0.7851
0.0000 -2.0821 7.0120
```

(3)
Here is PmNdHoIn after structural relaxation from the Alexandria database. Energies are from PBE-GGA. Values from VASP.

calculated formation energy = -152 meV/atom
uncorrected energy = -4.36 eV/atom
crystal system = cubic
total magnetic moment = 0.61 μB per cell

Structure (Quantum ESPRESSO input):
```
&SYSTEM
  ibrav = 0, nat = 4, ntyp = 4
/
ATOMIC_SPECIES
In 114.82 In.upf
Nd 144.24 Nd.upf
Ho 164.93 Ho.upf
Pm 145.00 Pm.upf
ATOMIC_POSITIONS crystal
In 0.2500 0.2500 0.2500
Nd 0.5000 0.5000 0.5000
Ho 0.7500 0.7500 0.7500
Pm 0.0000 0.0000 0.0000
CELL_PARAMETERS angstrom
5.5461 0.0000 0.0000
2.7731 4.8031 0.0000
2.7731 1.6010 4.5284
```